Material: NiS8Cl2
Method: DFT, PBE
State: relaxed

Structure (POSCAR):
```
NiS8Cl2
1.0
-9.7134 1.1320 0.4831
3.8110 -6.0829 -0.0557
5.3264 -3.2841 5.8484
S Cl Ni
8 2 1
Direct
0.0432 0.5975 0.2131 S
0.2238 0.8262 0.5898 S
0.9780 0.0717 0.6764 S
0.0220 0.9283 0.3236 S
0.9568 0.4025 0.7869 S
0.2408 0.5474 0.4974 S
0.7592 0.4526 0.5026 S
0.7762 0.1738 0.4102 S
0.3044 0.2284 0.0754 Cl
0.6956 0.7716 0.9246 Cl
0.0000 0.0000 0.0000 Ni
```

## Properties
total magnetic moment = 0.0 Bohr magnetons per cell
DOS at the Fermi energy = 0.993 states/eV per cell
formation energy without anion corrections = -0.08 eV/atom